[1]
This record from the Alexandria database describes a relaxed structure of Y5Be. The functional is PBE.

Results
Calculated volume   171.13 Å³ per cell
D(E_F)   7.63 states/eV/f.u.
ΔE to the lowest computed polymorph   0.0092 eV per atom

The structure in POSCAR format:
```
Y5Be
1.0
-0.465 3.255 1.441
-4.513 2.852 -3.429
-7.668 -0.715 3.611
Be Y
1 5
Cartesian
-11.772 2.266 0.024
-3.607 3.812 -0.831
-8.210 1.842 2.132
-5.676 1.200 -0.070
-2.130 1.145 1.198
-9.690 4.508 0.105
```

=====

[2]
This record from the Alexandria database describes a relaxed structure of Y8Be. The functional is PBE.

Results
Calculated volume   267.19 Å³ per cell
D(E_F)   14.50 states/eV/f.u.

The structure in POSCAR format:
```
Y8Be
1.0
-1.674 -7.535 1.259
5.090 5.711 1.624
-5.732 2.802 4.522
Y Be
8 1
Cartesian
-0.212 2.813 2.031
-2.447 -1.564 1.911
-4.958 -3.169 3.871
0.641 -3.001 1.384
-2.755 1.294 4.083
2.775 1.177 1.499
-0.430 5.700 4.116
0.439 -0.316 3.323
0.000 0.000 0.000
```

=====

[3]
This record from the Alexandria database describes a relaxed structure of Y5Be4. The functional is PBE.

Results
Calculated volume   400.24 Å³ per cell
D(E_F)   11.43 states/eV/f.u.
ΔE to the lowest computed polymorph   0.0000 eV per atom

The structure in POSCAR format:
```
Y5Be4
1.0
-6.490 3.229 -4.268
-1.306 -3.840 7.370
0.790 5.692 3.105
Y Be
10 8
Cartesian
-5.055 3.827 4.576
-4.367 3.719 1.164
-4.505 3.763 -2.316
-1.950 1.255 1.631
-2.639 1.362 5.043
-3.034 -1.483 3.490
-0.748 -1.359 6.116
-4.762 0.873 -0.389
-1.195 5.158 1.154
0.233 3.211 4.359
-2.277 2.654 -0.851
-2.380 4.036 3.512
-3.423 6.267 -0.311
0.000 0.000 0.000
-0.300 -0.041 3.586
0.395 2.846 1.553
-0.215 1.893 6.889
-4.625 1.045 2.695
```

=====

[4]
This record from the Alexandria database describes a relaxed structure of Y6Be7. The functional is PBE.

Results
Calculated volume   243.57 Å³ per cell
D(E_F)   11.49 states/eV/f.u.

The structure in POSCAR format:
```
Y6Be7
1.0
-8.291 -2.946 4.439
-6.779 -7.062 1.136
-4.375 -6.448 6.033
Be Y
7 6
Cartesian
-9.216 -6.701 4.133
-7.650 -8.103 4.771
-9.722 -8.228 5.804
-8.254 -6.456 6.093
-10.228 -9.755 7.475
-11.795 -8.354 6.838
-11.190 -10.000 5.516
-16.268 -13.768 9.712
-3.177 -2.689 1.897
-13.124 -11.107 7.835
-18.312 -15.498 10.932
-6.320 -5.349 3.773
-1.132 -0.958 0.676
```

=====

[5]
This record from the Alexandria database describes a relaxed structure of YBe. The functional is PBE.

Results
Calculated volume   91.36 Å³ per cell
D(E_F)   2.74 states/eV/f.u.
ΔE to the lowest computed polymorph   0.4770 eV per atom

The structure in POSCAR format:
```
YBe
1.0
3.597 0.000 0.000
-1.799 3.116 0.000
0.000 0.000 8.151
Y Be
2 2
Cartesian
0.000 0.000 0.000
0.000 0.000 4.076
0.000 2.077 2.038
1.799 1.039 6.113
```

=====

[6]
This record from the Alexandria database describes a relaxed structure of YBe. The functional is PBE.

Results
Calculated volume   45.46 Å³ per cell
D(E_F)   3.01 states/eV/f.u.
ΔE to the lowest computed polymorph   0.3752 eV per atom

The structure in POSCAR format:
```
YBe
1.0
-1.084 2.626 3.438
-0.518 -0.870 4.343
2.320 1.303 3.579
Y Be
1 1
Cartesian
0.359 1.529 5.680
0.000 0.000 0.000
```

=====

[7]
This record from the Alexandria database describes a relaxed structure of YBe. The functional is PBE.

Results
Calculated volume   80.99 Å³ per cell
D(E_F)   1.82 states/eV/f.u.
ΔE to the lowest computed polymorph   0.0000 eV per atom

The structure in POSCAR format:
```
YBe
1.0
-2.602 -1.289 -3.819
1.079 -3.239 3.372
-3.406 0.948 2.001
Be Y
2 2
Cartesian
-1.703 0.474 1.000
0.000 0.000 0.000
-0.999 -2.352 1.475
-3.929 -1.228 0.078
```

=====

[8]
This record from the Alexandria database describes a relaxed structure of Y5Be. The functional is PBE.

Results
Calculated volume   169.76 Å³ per cell
D(E_F)   7.72 states/eV/f.u.
ΔE to the lowest computed polymorph   0.0000 eV per atom

The structure in POSCAR format:
```
Y5Be
1.0
-1.079 -1.186 3.118
-1.493 -2.759 -1.566
11.749 -7.125 1.355
Y Be
5 1
Cartesian
8.395 -5.091 0.968
11.187 -6.785 1.291
0.449 -3.025 0.976
3.916 -2.375 0.452
4.812 -5.671 1.480
8.505 -7.911 1.906
```

=====

Values for E_tot, eV for the cell shown, ordered as above
-35.696; -53.880; -90.662; -62.462; -18.307; -9.357; -20.215; -35.752